# 1
A plane-wave DFT calculation with GGA-PBE was carried out for a relaxed structure of ReHgIr2.

abc: 9.500 9.500 9.500
angles: 17.06 17.06 17.06
Each line ends with the local moment (μB).
Fractional positions:
Hg  0.750  0.750  0.750  0.00
Ir  0.248  0.248  0.248  0.04
Ir  0.995  0.995  0.995  0.27
Re  0.507  0.507  0.507  0.00

Calculated values
- SG: R3m, No. 160
- ΔH_f (0 K): 0.348 eV per atom
- E_tot: -7.2702 eV per atom

=====

# 2
A plane-wave DFT calculation with GGA-PBE was carried out for a relaxed structure of ReHg2Ir.

abc: 2.872 2.931 9.783
angles: 63.38 90.00 90.00
Fractional positions:
Hg  0.000  0.860  0.969
Hg  0.500  0.395  0.279
Ir  0.000  0.511  0.533
Re  0.500  0.734  0.718

Calculated values
- Offset from the most stable computed form: 0 meV per atom
- SG: Pm, No. 6
- ΔH_f (0 K): 0.287 eV per atom
- E_tot: -5.1908 eV per atom

=====

# 3
A plane-wave DFT calculation with GGA-PBE was carried out for a relaxed structure of ReHgIr.

abc: 6.486 6.486 2.854
angles: 77.29 77.29 25.42
Each line ends with the local moment (μB).
Fractional positions:
Ir  0.317  0.317  0.683  0.02
Re  0.683  0.683  0.317  0.14
Hg  0.000  0.000  0.000  0.01

Calculated values
- Offset from the most stable computed form: 0 meV per atom
- SG: I4mm, No. 107
- ΔH_f (0 K): 0.314 eV per atom
- E_tot: -6.8892 eV per atom

=====

# 4
A plane-wave DFT calculation with GGA-PBE was carried out for a relaxed structure of ReHgIr2.

abc: 4.866 4.866 4.865
angles: 131.53 131.52 70.99
Fractional positions:
Re  0.750  0.250  0.500
Ir  0.000  0.000  0.000
Ir  0.500  0.500  0.000
Hg  0.250  0.750  0.500

Calculated values
- SG: I4/mmm, No. 139
- ΔH_f (0 K): 0.486 eV per atom
- E_tot: -7.1319 eV per atom

=====

# 5
A plane-wave DFT calculation with GGA-PBE was carried out for a relaxed structure of ReHgIr2.

abc: 4.971 4.971 4.971
angles: 133.50 133.50 67.87
Fractional positions:
Ir  0.000  0.000  0.000
Ir  0.250  0.750  0.500
Re  0.500  0.500  0.000
Hg  0.750  0.250  0.500

Calculated values
- SG: I-4m2, No. 119
- ΔH_f (0 K): 0.567 eV per atom
- E_tot: -7.0515 eV per atom

=====

# 6
A plane-wave DFT calculation with GGA-PBE was carried out for a relaxed structure of ReHgIr2.

abc: 2.825 2.825 8.079
angles: 90.00 90.00 90.00
Fractional positions:
Ir  0.000  0.000  0.029
Ir  0.000  0.000  0.471
Re  0.500  0.500  0.250
Hg  0.500  0.500  0.750

Calculated values
- SG: P4/mmm, No. 123
- ΔH_f (0 K): 0.064 eV per atom
- E_tot: -7.5542 eV per atom

=====

# 7
A plane-wave DFT calculation with GGA-PBE was carried out for a relaxed structure of ReHgIr4.

abc: 5.183 5.183 5.183
angles: 60.00 60.00 60.00
Fractional positions:
Ir  0.375  0.375  0.375
Ir  0.875  0.375  0.375
Ir  0.375  0.375  0.875
Ir  0.375  0.875  0.375
Re  0.750  0.750  0.750
Hg  0.000  0.000  0.000

Calculated values
- SG: F-43m, No. 216
- ΔH_f (0 K): 0.715 eV per atom
- E_tot: -7.3170 eV per atom

=====

# 8
A plane-wave DFT calculation with GGA-PBE was carried out for a relaxed structure of Re2HgIr.

abc: 6.083 5.022 2.795
angles: 90.04 62.58 118.53
Fractional positions:
Re  0.500  0.000  0.500
Re  0.000  0.000  0.000
Hg  0.000  0.500  0.500
Ir  0.500  0.500  0.000

Calculated values
- SG: Cmmm, No. 65
- ΔH_f (0 K): 0.686 eV per atom
- E_tot: -7.8286 eV per atom

=====

Among the records above, which one has the highest ΔH_f (0 K)?
ReHgIr4